Density functional theory data (PBE) for crystalline Ta3PbBr at its relaxed geometry.

abc: 4.778 4.778 4.778
angles: 90.00 90.00 90.00
Element x y z (fractional)
Ta 0.000 0.500 0.000
Ta 0.000 0.000 0.500
Br 0.000 0.000 0.000
Ta 0.500 0.000 0.000
Pb 0.500 0.500 0.500

Computed properties:
- Energy relative to the elements, uncorrected: 1.441 eV per atom
- Theoretical density: 12.635 g cm⁻³
- Excess energy over the best structure of this formula in the dataset: 0 meV per atom
- SG: Pm-3m (221)